This record from Alexandria via LeMat-Bulk describes a relaxed NaLa2PuSe4 crystal. The functional is PBE.

Cell: 7.342 4.280 7.439 Å, 90.00 109.75 90.00°
Sites, in units of the cell vectors:
1 Na 0.000 0.000 0.000
2 La 0.500 0.000 0.500
3 La 0.500 0.500 0.000
4 Pu 0.000 0.500 0.500
5 Se 0.241 0.000 0.745
6 Se 0.247 0.500 0.251
7 Se 0.753 0.500 0.749
8 Se 0.759 0.000 0.255

Output
- formation energy from raw total energies (eV per formula unit) = -13.9